# LiAcTmTl

An optimized crystal structure of LiAcTmTl (PBE, Alexandria).

Structure (POSCAR):
```
LiAcTmTl
1.0
0.0000 3.9129 3.9129
3.9129 0.0000 3.9129
3.9129 3.9129 0.0000
Li Ac Tm Tl
1 1 1 1
Cartesian
0.0000 0.0000 0.0000
1.9564 1.9564 1.9564
5.8693 5.8693 5.8693
3.9129 3.9129 3.9129
```

Calculated values
magnetic moment: 0.000 μB per atom
ΔE_f: -128 meV/atom
calculated total energy: -3.343 eV per atom